Computed, not measured: a relaxed structure of BeCoF2 at the PBE with a Hubbard U level of DFT.

Lattice parameters (Å, degrees): 5.529 5.529 5.529 90.00 90.00 90.00
Space group Fm-3m (No. 225)
Inequivalent atoms, fractional coordinates:
Be 0.000 0.000 0.000
Co 0.000 0.000 0.500
F 0.250 0.250 0.250

total DFT energy (no corrections): -3.607 eV per atom